A plane-wave DFT calculation with GGA-PBE was carried out for a relaxed Sm2Dy5Er crystal.

Cell lengths 5.025, 7.120, 14.240 Å; angles 90.00, 90.00, 90.00 degrees
Fractional coordinates of all 16 atoms:
Sm 0.500 0.250 0.625
Sm 0.500 0.750 0.375
Sm 0.500 0.250 0.125
Sm 0.500 0.750 0.875
Dy 0.000 0.000 0.000
Dy 0.000 0.500 0.500
Dy 0.000 0.500 0.750
Dy 0.000 0.500 0.250
Dy 0.000 0.000 0.250
Dy 0.000 0.000 0.750
Dy 0.500 0.250 0.875
Dy 0.500 0.750 0.125
Dy 0.500 0.250 0.375
Dy 0.500 0.750 0.625
Er 0.000 0.000 0.500
Er 0.000 0.500 0.000

Results
The formation energy comes out at 0.02 eV/atom. Its volume is 31.8 A^3/atom. The value obtained for the spin magnetization is 0.000 μB/atom.